Record 1
## KNbF3 (GGA-PBE)

Data for KNbF3 after structural relaxation.

The space group is P4mm (No. 99) and the conventional cell measures 4.320, 4.320 and 4.347 Å, with angles of 90.00, 90.00 and 90.00 degrees. The asymmetric unit holds K at (0.000, 0.000, 0.000), Nb at (0.500, 0.500, 0.536), F at (0.000, 0.500, 0.571) and F at (0.500, 0.500, 0.035).

For the volume, the calculation gives 16.227 Å³/atom. For the polymorph energy (0 for the lowest one), the calculation gives 0.13 eV/f.u.

=====

Record 2
## ZrHgO3 (GGA-PBE)

Data for ZrHgO3 after structural relaxation.

The space group is R-3c (No. 167, hexagonal axes) and the conventional cell measures 5.6607, 5.6607 and 14.4709 Å, with angles of 90.00, 90.00 and 120.00 degrees. The asymmetric unit holds Zr at (0.0000, 0.0000, 0.0000), Hg at (0.0000, 0.0000, 0.2500) and O at (0.0000, 0.3940, 0.2500).

For the volume, the calculation gives 13.386 Å³/atom. The total energy is -203.13 eV/cell.

=====

Record 3
## Tb2DyCu2B2N3 (GGA-PBE)

Data for Tb2DyCu2B2N3 after structural relaxation.

The space group is I4/mmm (No. 139) and the conventional cell measures 3.498, 3.498 and 20.420 Å, with angles of 90.00, 90.00 and 90.00 degrees. The asymmetric unit holds Tb at (0.000, 0.000, 0.121), Dy at (0.000, 0.000, 0.500), Cu at (0.000, 0.500, 0.250), B at (0.000, 0.000, 0.316), N at (0.000, 0.000, 0.000) and N at (0.000, 0.000, 0.386).

For the volume, the calculation gives 12.496 Å³/atom. The total energy is -140.37 eV/cell.

=====

Record 4
## ScTlZnCo (GGA-PBE)

Data for ScTlZnCo after structural relaxation.

The space group is F-43m (No. 216) and the conventional cell measures 6.474, 6.474 and 6.474 Å, with angles of 90.00, 90.00 and 90.00 degrees. The asymmetric unit holds Sc at (0.000, 0.000, 0.000), Tl at (0.000, 0.000, 0.500), Zn at (0.250, 0.250, 0.250) and Co at (0.250, 0.250, 0.750).

For the volume, the calculation gives 16.957 Å³/atom. For the polymorph energy (0 for the lowest one), the calculation gives 0.06 eV/f.u.

=====

Record 5
## LiTaO3 (GGA-PBE)

Data for LiTaO3 after structural relaxation.

The space group is P4mm (No. 99) and the conventional cell measures 3.281, 3.281 and 4.886 Å, with angles of 90.00, 90.00 and 90.00 degrees. The asymmetric unit holds Li at (0.000, 0.000, 0.000), Ta at (0.500, 0.500, 0.409), O at (0.000, 0.000, 0.623) and O at (0.000, 0.500, 0.196).

For the volume, the calculation gives 10.521 Å³/atom. The total energy is -38.67 eV/cell.

=====

Record 6
## LuGeTe2AuSe (GGA-PBE)

Data for LuGeTe2AuSe after structural relaxation.

The space group is Cmcm (No. 63) and the conventional cell measures 4.144, 14.494 and 10.168 Å, with angles of 90.00, 90.00 and 90.00 degrees. The asymmetric unit holds Lu at (0.000, 0.000, 0.000), Ge at (0.000, 0.243, 0.250), Te at (0.000, 0.345, 0.557), Au at (0.000, 0.479, 0.750) and Se at (0.000, 0.095, 0.750).

For the volume, the calculation gives 25.449 Å³/atom. The total energy is -101.73 eV/cell.